Record 1
LaCd2Ru2 | meta-GGA SCAN | PBEsol geometry

Results
**Formation enthalpy at 0 K**: 0.028 eV/atom
**Total DFT energy (no corrections)**: -34.690 eV per atom

Structure (CIF):
```
data_LaCd2Ru2
_chemical_formula_sum 'La2 Cd4 Ru4'
_cell_length_a 4.323
_cell_length_b 4.323
_cell_length_c 11.189
_cell_angle_alpha 90.00
_cell_angle_beta 90.00
_cell_angle_gamma 90.00
_space_group_name_H-M_alt 'I 4/m m m'
_space_group_IT_number 139
_space_group_name_Hall '-I 4 2'
loop_
_atom_site_label
_atom_site_fract_x
_atom_site_fract_y
_atom_site_fract_z
_atom_site_occupancy
La1 0.000 0.000 0.000 1
Cd1 0.000 0.500 0.250 1
Ru1 0.000 0.000 0.400 1
```

Record 2
La2CdRu | meta-GGA SCAN | PBEsol geometry

Results
**Formation enthalpy at 0 K**: -0.303 eV/atom
**Total DFT energy (no corrections)**: -38.165 eV per atom

Structure (CIF):
```
data_La2CdRu
_chemical_formula_sum 'La4 Cd2 Ru2'
_cell_length_a 4.839
_cell_length_b 4.862
_cell_length_c 8.480
_cell_angle_alpha 90.00
_cell_angle_beta 90.00
_cell_angle_gamma 90.00
_space_group_name_H-M_alt 'C m m m'
_space_group_IT_number 65
_space_group_name_Hall '-C 2 2'
loop_
_atom_site_label
_atom_site_fract_x
_atom_site_fract_y
_atom_site_fract_z
_atom_site_occupancy
La1 0.000 0.000 0.207 1
Cd1 0.000 0.500 0.500 1
Ru1 0.000 0.500 0.000 1
```

Record 3
La2CdRu | meta-GGA SCAN | PBEsol geometry

Results
**Formation enthalpy at 0 K**: -0.242 eV/atom
**Total DFT energy (no corrections)**: -38.105 eV per atom

Structure (CIF):
```
data_La2CdRu
_chemical_formula_sum 'La6 Cd3 Ru3'
_cell_length_a 4.0155
_cell_length_b 4.0155
_cell_length_c 24.3963
_cell_angle_alpha 90.00
_cell_angle_beta 90.00
_cell_angle_gamma 120.00
_space_group_name_H-M_alt 'R -3 m'
_space_group_IT_number 166
_space_group_name_Hall '-R 3 2"'
loop_
_atom_site_label
_atom_site_fract_x
_atom_site_fract_y
_atom_site_fract_z
_atom_site_occupancy
La1 0.0000 0.0000 0.2303 1
Cd1 0.0000 0.0000 0.0000 1
Ru1 0.0000 0.0000 0.5000 1
```

Record 4
La2CdRu | meta-GGA SCAN | PBEsol geometry

Results
**Formation enthalpy at 0 K**: -0.308 eV/atom
**Total DFT energy (no corrections)**: -38.171 eV per atom

Structure (CIF):
```
data_La2CdRu
_chemical_formula_sum 'La4 Cd2 Ru2'
_cell_length_a 3.948
_cell_length_b 4.630
_cell_length_c 11.391
_cell_angle_alpha 90.00
_cell_angle_beta 90.00
_cell_angle_gamma 90.00
_space_group_name_H-M_alt 'A m m 2'
_space_group_IT_number 38
loop_
_space_group_symop_operation_xyz
'x,y,z'
'-x,-y,z'
'-x,y,z'
'x,-y,z'
'x,y+1/2,z+1/2'
'-x,-y+1/2,z+1/2'
'-x,y+1/2,z+1/2'
'x,-y+1/2,z+1/2'
loop_
_atom_site_label
_atom_site_fract_x
_atom_site_fract_y
_atom_site_fract_z
_atom_site_occupancy
La1 0.000 0.000 0.000 1
La2 0.500 0.000 0.305 1
Cd1 0.500 0.000 0.606 1
Ru1 0.000 0.000 0.791 1
```

Record 5
La2CdRu | meta-GGA SCAN | PBEsol geometry

Results
**Formation enthalpy at 0 K**: -0.306 eV/atom
**Total DFT energy (no corrections)**: -38.169 eV per atom

Structure (CIF):
```
data_La2CdRu
_chemical_formula_sum 'La2 Cd1 Ru1'
_cell_length_a 3.437
_cell_length_b 3.758
_cell_length_c 7.878
_cell_angle_alpha 90.00
_cell_angle_beta 97.38
_cell_angle_gamma 90.00
_space_group_name_H-M_alt 'P 1 2/m 1'
_space_group_IT_number 10
loop_
_space_group_symop_operation_xyz
'x,y,z'
'-x,-y,-z'
'-x,y,-z'
'x,-y,z'
loop_
_atom_site_label
_atom_site_fract_x
_atom_site_fract_y
_atom_site_fract_z
_atom_site_occupancy
La1 0.081 0.000 0.286 1
Cd1 0.500 0.500 0.000 1
Ru1 0.500 0.500 0.500 1
```

Record 6
LaTi2CdS | meta-GGA SCAN | PBEsol geometry

Results
**Total DFT energy (no corrections)**: -23.526 eV per atom
**Formation energy (no corrections)**: -0.48 eV per atom

Structure (CIF):
```
data_LaTi2CdS
_chemical_formula_sum 'La1 Ti2 Cd1 S1'
_cell_length_a 4.582
_cell_length_b 4.582
_cell_length_c 5.354
_cell_angle_alpha 90.00
_cell_angle_beta 90.00
_cell_angle_gamma 90.00
_space_group_name_H-M_alt 'P 4/m m m'
_space_group_IT_number 123
_space_group_name_Hall '-P 4 2'
loop_
_atom_site_label
_atom_site_fract_x
_atom_site_fract_y
_atom_site_fract_z
_atom_site_occupancy
La1 0.000 0.000 0.000 1
Ti1 0.000 0.500 0.500 1
Cd1 0.500 0.500 0.000 1
S1 0.000 0.000 0.500 1
```

Record 7
LaY2CdS | meta-GGA SCAN | PBEsol geometry

Results
**Total DFT energy (no corrections)**: -26.785 eV per atom
**Formation energy (no corrections)**: 0.98 eV per atom

Structure (CIF):
```
data_LaY2CdS
_chemical_formula_sum 'La1 Y2 Cd1 S1'
_cell_length_a 5.583
_cell_length_b 5.583
_cell_length_c 5.428
_cell_angle_alpha 90.00
_cell_angle_beta 90.00
_cell_angle_gamma 90.00
_space_group_name_H-M_alt 'P 4/m m m'
_space_group_IT_number 123
_space_group_name_Hall '-P 4 2'
loop_
_atom_site_label
_atom_site_fract_x
_atom_site_fract_y
_atom_site_fract_z
_atom_site_occupancy
La1 0.000 0.000 0.000 1
Y1 0.000 0.500 0.000 1
Cd1 0.000 0.000 0.500 1
S1 0.500 0.500 0.500 1
```

Record 8
LaCdSb2 | meta-GGA SCAN | PBEsol geometry

Results
**Total DFT energy (no corrections)**: -37.651 eV per atom
**Formation energy (no corrections)**: -0.64 eV per atom

Structure (CIF):
```
data_LaCdSb2
_chemical_formula_sum 'La2 Cd2 Sb4'
_cell_length_a 11.248
_cell_length_b 4.471
_cell_length_c 4.553
_cell_angle_alpha 90.00
_cell_angle_beta 107.35
_cell_angle_gamma 90.00
_space_group_name_H-M_alt 'C 1 m 1'
_space_group_IT_number 8
loop_
_space_group_symop_operation_xyz
'x,y,z'
'x,-y,z'
'x+1/2,y+1/2,z'
'x+1/2,-y+1/2,z'
loop_
_atom_site_label
_atom_site_fract_x
_atom_site_fract_y
_atom_site_fract_z
_atom_site_occupancy
La1 0.000 0.000 0.000 1
Cd1 0.258 0.500 0.331 1
Sb1 0.022 0.500 0.507 1
Sb2 0.275 0.000 0.896 1
```

Q: What is the total DFT energy (no corrections) in the third record?
A: -38.105 eV per atom

Q: Look up the total DFT energy (no corrections) of the seventh one.
A: -26.785 eV per atom

Q: Among the records above, which one has the lowest total DFT energy (no corrections)?
A: number 4